Record 1
First-principles (PBE with a Hubbard U) data for a relaxed MnCdP2O crystal, as listed in Alexandria via LeMat-Bulk.

polymorph energy (0 for the lowest one): 0 meV per atom
V: 78.3 Å³/cell

```
data_MnCdP2O
_symmetry_space_group_name_H-M 'P 4/m m m'
_symmetry_Int_Tables_number 123
_symmetry_space_group_name_Hall '-P 4 2'
_cell_length_a 4.775
_cell_length_b 4.775
_cell_length_c 3.435
_cell_angle_alpha 90.00
_cell_angle_beta 90.00
_cell_angle_gamma 90.00
loop_
_atom_site_label
_atom_site_fract_x
_atom_site_fract_y
_atom_site_fract_z
_atom_site_occupancy
Mn1 0.000 0.000 0.000 1
Cd1 0.500 0.500 0.500 1
P1 0.000 0.500 0.000 1
O1 0.000 0.000 0.500 1
```

***

Record 2
First-principles (PBE with a Hubbard U) data for a relaxed MnCdPO4 crystal, as listed in Alexandria via LeMat-Bulk.

E_tot: -6.460 eV/atom
V: 367.3 Å³/cell

```
data_MnCdPO4
_symmetry_space_group_name_H-M 'C m c m'
_symmetry_Int_Tables_number 63
_symmetry_space_group_name_Hall '-C 2c 2'
_cell_length_a 5.584
_cell_length_b 9.049
_cell_length_c 7.269
_cell_angle_alpha 90.00
_cell_angle_beta 90.00
_cell_angle_gamma 90.00
loop_
_atom_site_label
_atom_site_fract_x
_atom_site_fract_y
_atom_site_fract_z
_atom_site_occupancy
Mn1 0.000 0.000 0.000 1
Cd1 0.000 0.328 0.250 1
P1 0.000 0.323 0.750 1
O1 0.000 0.222 0.577 1
O2 0.231 0.425 0.750 1
```

***

Record 3
First-principles (PBE with a Hubbard U) data for a relaxed MnCdP2O crystal, as listed in Alexandria via LeMat-Bulk.

polymorph energy (0 for the lowest one): 368 meV per atom
V: 104.1 Å³/cell

```
data_MnCdP2O
_symmetry_space_group_name_H-M 'P 4/m m m'
_symmetry_Int_Tables_number 123
_symmetry_space_group_name_Hall '-P 4 2'
_cell_length_a 5.043
_cell_length_b 5.043
_cell_length_c 4.093
_cell_angle_alpha 90.00
_cell_angle_beta 90.00
_cell_angle_gamma 90.00
loop_
_atom_site_label
_atom_site_fract_x
_atom_site_fract_y
_atom_site_fract_z
_atom_site_occupancy
Mn1 0.000 0.000 0.000 1
Cd1 0.500 0.500 0.500 1
P1 0.000 0.500 0.500 1
O1 0.500 0.500 0.000 1
```

***

Record 4
First-principles (PBE with a Hubbard U) data for a relaxed PaMn2CdO8 crystal, as listed in Alexandria via LeMat-Bulk.

E_tot: -7.106 eV/atom
V: 324.7 Å³/cell

```
data_PaMn2CdO8
_symmetry_space_group_name_H-M 'I -4 m 2'
_symmetry_Int_Tables_number 119
_symmetry_space_group_name_Hall 'I -4 -2'
_cell_length_a 7.062
_cell_length_b 7.062
_cell_length_c 6.509
_cell_angle_alpha 90.00
_cell_angle_beta 90.00
_cell_angle_gamma 90.00
loop_
_atom_site_label
_atom_site_fract_x
_atom_site_fract_y
_atom_site_fract_z
_atom_site_occupancy
Pa1 0.000 0.000 0.000 1
Mn1 0.000 0.000 0.500 1
Mn2 0.000 0.500 0.250 1
Cd1 0.000 0.500 0.750 1
O1 0.000 0.177 0.683 1
O2 0.000 0.308 0.066 1
```

***

Record 5
First-principles (PBE with a Hubbard U) data for a relaxed Pa2MnCdO8 crystal, as listed in Alexandria via LeMat-Bulk.

E_tot: -8.076 eV/atom
V: 315.5 Å³/cell

```
data_Pa2MnCdO8
_symmetry_space_group_name_H-M 'I -4'
_symmetry_Int_Tables_number 82
_cell_length_a 5.363
_cell_length_b 5.363
_cell_length_c 10.970
_cell_angle_alpha 90.00
_cell_angle_beta 90.00
_cell_angle_gamma 90.00
loop_
_symmetry_equiv_pos_as_xyz
'x,y,z'
'y,-x,-z'
'-x,-y,z'
'-y,x,-z'
'x+1/2,y+1/2,z+1/2'
'y+1/2,-x+1/2,-z+1/2'
'-x+1/2,-y+1/2,z+1/2'
'-y+1/2,x+1/2,-z+1/2'
loop_
_atom_site_label
_atom_site_fract_x
_atom_site_fract_y
_atom_site_fract_z
_atom_site_occupancy
Pa1 0.000 0.000 0.000 1
Pa2 0.000 0.500 0.250 1
Mn1 0.000 0.500 0.750 1
Cd1 0.000 0.000 0.500 1
O1 0.184 0.251 0.830 1
O2 0.186 0.306 0.091 1
```

***

Record 6
First-principles (PBE with a Hubbard U) data for a relaxed PaMn4Cd3O12 crystal, as listed in Alexandria via LeMat-Bulk.

E_tot: -6.747 eV/atom
V: 457.9 Å³/cell

```
data_PaMn4Cd3O12
_symmetry_space_group_name_H-M 'I m -3'
_symmetry_Int_Tables_number 204
_symmetry_space_group_name_Hall '-I 2 2 3'
_cell_length_a 7.708
_cell_length_b 7.708
_cell_length_c 7.708
_cell_angle_alpha 90.00
_cell_angle_beta 90.00
_cell_angle_gamma 90.00
loop_
_atom_site_label
_atom_site_fract_x
_atom_site_fract_y
_atom_site_fract_z
_atom_site_occupancy
Pa1 0.000 0.000 0.000 1
Mn1 0.250 0.250 0.250 1
Cd1 0.000 0.000 0.500 1
O1 0.000 0.186 0.274 1
```

***

Record 7
First-principles (PBE with a Hubbard U) data for a relaxed PaMn2CdO6 crystal, as listed in Alexandria via LeMat-Bulk.

E_tot: -7.528 eV/atom
V: 379.3 Å³/cell

```
data_PaMn2CdO6
_symmetry_space_group_name_H-M 'R 3'
_symmetry_Int_Tables_number 146
_symmetry_space_group_name_Hall 'R 3'
_cell_length_a 5.5681
_cell_length_b 5.5681
_cell_length_c 14.1258
_cell_angle_alpha 90.00
_cell_angle_beta 90.00
_cell_angle_gamma 120.00
loop_
_atom_site_label
_atom_site_fract_x
_atom_site_fract_y
_atom_site_fract_z
_atom_site_occupancy
Pa1 0.0000 0.0000 0.0000 1
Mn1 0.0000 0.0000 0.2055 1
Mn2 0.0000 0.0000 0.7142 1
Cd1 0.0000 0.0000 0.4942 1
O1 0.0097 0.3727 0.9465 1
O2 0.0714 0.6998 0.7815 1
```

***

Record 8
First-principles (PBE with a Hubbard U) data for a relaxed PaMnCdO6 crystal, as listed in Alexandria via LeMat-Bulk.

E_tot: -7.204 eV/atom
V: 116.9 Å³/cell

```
data_PaMnCdO6
_symmetry_space_group_name_H-M 'P 3 1 2'
_symmetry_Int_Tables_number 149
_cell_length_a 5.3412
_cell_length_b 5.3412
_cell_length_c 4.7332
_cell_angle_alpha 90.00
_cell_angle_beta 90.00
_cell_angle_gamma 120.00
loop_
_symmetry_equiv_pos_as_xyz
'x,y,z'
'-y,x-y,z'
'-x+y,-x,z'
'-y,-x,-z'
'-x+y,y,-z'
'x,x-y,-z'
loop_
_atom_site_label
_atom_site_fract_x
_atom_site_fract_y
_atom_site_fract_z
_atom_site_occupancy
Pa1 0.0000 0.0000 0.0000 1
Mn1 0.6667 0.3333 0.5000 1
Cd1 0.3333 0.6667 0.5000 1
O1 0.3584 0.0468 0.7357 1
```

***

Record 9
First-principles (PBE with a Hubbard U) data for a relaxed PaMnCd2O6 crystal, as listed in Alexandria via LeMat-Bulk.

E_tot: -6.761 eV/atom
V: 132.3 Å³/cell

```
data_PaMnCd2O6
_symmetry_space_group_name_H-M 'P -1'
_symmetry_Int_Tables_number 2
_cell_length_a 5.556
_cell_length_b 5.561
_cell_length_c 5.884
_cell_angle_alpha 62.02
_cell_angle_beta 61.87
_cell_angle_gamma 60.04
loop_
_symmetry_equiv_pos_as_xyz
'x,y,z'
'-x,-y,-z'
loop_
_atom_site_label
_atom_site_fract_x
_atom_site_fract_y
_atom_site_fract_z
_atom_site_occupancy
Pa1 0.000 0.000 0.000 1
Mn1 0.500 0.500 0.500 1
Cd1 0.225 0.226 0.324 1
O1 0.159 0.748 0.730 1
O2 0.251 0.637 0.270 1
O3 0.364 0.158 0.731 1
```

***

Record 10
First-principles (PBE with a Hubbard U) data for a relaxed MnCd2PbO4 crystal, as listed in Alexandria via LeMat-Bulk.

E_tot: -5.151 eV/atom
V: 478.9 Å³/cell

```
data_MnCd2PbO4
_symmetry_space_group_name_H-M 'C m c m'
_symmetry_Int_Tables_number 63
_symmetry_space_group_name_Hall '-C 2c 2'
_cell_length_a 3.421
_cell_length_b 11.721
_cell_length_c 11.945
_cell_angle_alpha 90.00
_cell_angle_beta 90.00
_cell_angle_gamma 90.00
loop_
_atom_site_label
_atom_site_fract_x
_atom_site_fract_y
_atom_site_fract_z
_atom_site_occupancy
Mn1 0.000 0.133 0.250 1
Cd1 0.000 0.371 0.532 1
Pb1 0.000 0.129 0.750 1
O1 0.000 0.000 0.000 1
O2 0.000 0.251 0.120 1
O3 0.000 0.464 0.750 1
```

***

Record 11
First-principles (PBE with a Hubbard U) data for a relaxed MnCdPbO4 crystal, as listed in Alexandria via LeMat-Bulk.

E_tot: -5.748 eV/atom
V: 410.5 Å³/cell

```
data_MnCdPbO4
_symmetry_space_group_name_H-M 'I m m a'
_symmetry_Int_Tables_number 74
_symmetry_space_group_name_Hall '-I 2b 2'
_cell_length_a 6.496
_cell_length_b 6.733
_cell_length_c 9.385
_cell_angle_alpha 90.00
_cell_angle_beta 90.00
_cell_angle_gamma 90.00
loop_
_atom_site_label
_atom_site_fract_x
_atom_site_fract_y
_atom_site_fract_z
_atom_site_occupancy
Mn1 0.250 0.250 0.250 1
Cd1 0.000 0.250 0.642 1
Pb1 0.000 0.000 0.000 1
O1 0.000 0.033 0.234 1
O2 0.230 0.250 0.008 1
```

***

Record 12
First-principles (PBE with a Hubbard U) data for a relaxed Mn2CdPbO6 crystal, as listed in Alexandria via LeMat-Bulk.

E_tot: -6.165 eV/atom
V: 369.9 Å³/cell

```
data_Mn2CdPbO6
_symmetry_space_group_name_H-M 'R 3'
_symmetry_Int_Tables_number 146
_symmetry_space_group_name_Hall 'R 3'
_cell_length_a 5.4405
_cell_length_b 5.4405
_cell_length_c 14.4305
_cell_angle_alpha 90.00
_cell_angle_beta 90.00
_cell_angle_gamma 120.00
loop_
_atom_site_label
_atom_site_fract_x
_atom_site_fract_y
_atom_site_fract_z
_atom_site_occupancy
Mn1 0.0000 0.0000 0.0000 1
Mn2 0.0000 0.0000 0.4945 1
Cd1 0.0000 0.0000 0.2734 1
Pb1 0.0000 0.0000 0.7885 1
O1 0.0582 0.3594 0.0739 1
O2 0.0691 0.7320 0.5663 1
```

***

Record 13
First-principles (PBE with a Hubbard U) data for a relaxed PuMnCd2O6 crystal, as listed in Alexandria via LeMat-Bulk.

E_tot: -7.102 eV/atom
V: 403.7 Å³/cell

```
data_PuMnCd2O6
_symmetry_space_group_name_H-M 'R -3'
_symmetry_Int_Tables_number 148
_symmetry_space_group_name_Hall '-R 3'
_cell_length_a 5.6493
_cell_length_b 5.6493
_cell_length_c 14.6053
_cell_angle_alpha 90.00
_cell_angle_beta 90.00
_cell_angle_gamma 120.00
loop_
_atom_site_label
_atom_site_fract_x
_atom_site_fract_y
_atom_site_fract_z
_atom_site_occupancy
Pu1 0.0000 0.0000 0.0000 1
Mn1 0.0000 0.0000 0.5000 1
Cd1 0.0000 0.0000 0.2264 1
O1 0.0127 0.6168 0.7529 1
```

***

Record 14
First-principles (PBE with a Hubbard U) data for a relaxed PuMnCdO6 crystal, as listed in Alexandria via LeMat-Bulk.

E_tot: -7.606 eV/atom
V: 237.4 Å³/cell

```
data_PuMnCdO6
_symmetry_space_group_name_H-M 'P -3 1 c'
_symmetry_Int_Tables_number 163
_symmetry_space_group_name_Hall '-P 3 2c'
_cell_length_a 5.3109
_cell_length_b 5.3109
_cell_length_c 9.7196
_cell_angle_alpha 90.00
_cell_angle_beta 90.00
_cell_angle_gamma 120.00
loop_
_atom_site_label
_atom_site_fract_x
_atom_site_fract_y
_atom_site_fract_z
_atom_site_occupancy
Pu1 0.3333 0.6667 0.2500 1
Mn1 0.3333 0.6667 0.7500 1
Cd1 0.0000 0.0000 0.0000 1
O1 0.0121 0.3662 0.6398 1
```

***

Record 15
First-principles (PBE with a Hubbard U) data for a relaxed PuMnCd2O8 crystal, as listed in Alexandria via LeMat-Bulk.

E_tot: -6.483 eV/atom
V: 326.6 Å³/cell

```
data_PuMnCd2O8
_symmetry_space_group_name_H-M 'I -4 m 2'
_symmetry_Int_Tables_number 119
_symmetry_space_group_name_Hall 'I -4 -2'
_cell_length_a 6.435
_cell_length_b 6.435
_cell_length_c 7.888
_cell_angle_alpha 90.00
_cell_angle_beta 90.00
_cell_angle_gamma 90.00
loop_
_atom_site_label
_atom_site_fract_x
_atom_site_fract_y
_atom_site_fract_z
_atom_site_occupancy
Pu1 0.000 0.000 0.000 1
Mn1 0.000 0.500 0.750 1
Cd1 0.000 0.000 0.500 1
Cd2 0.000 0.500 0.250 1
O1 0.000 0.199 0.727 1
O2 0.000 0.296 0.032 1
```

***

Record 16
First-principles (PBE with a Hubbard U) data for a relaxed PuMn2CdO6 crystal, as listed in Alexandria via LeMat-Bulk.

E_tot: -7.888 eV/atom
V: 395.7 Å³/cell

```
data_PuMn2CdO6
_symmetry_space_group_name_H-M 'R 3'
_symmetry_Int_Tables_number 146
_symmetry_space_group_name_Hall 'R 3'
_cell_length_a 5.5300
_cell_length_b 5.5300
_cell_length_c 14.9412
_cell_angle_alpha 90.00
_cell_angle_beta 90.00
_cell_angle_gamma 120.00
loop_
_atom_site_label
_atom_site_fract_x
_atom_site_fract_y
_atom_site_fract_z
_atom_site_occupancy
Pu1 0.0000 0.0000 0.0000 1
Mn1 0.0000 0.0000 0.3061 1
Mn2 0.0000 0.0000 0.7939 1
Cd1 0.0000 0.0000 0.5140 1
O1 0.0170 0.3481 0.0668 1
O2 0.0248 0.7227 0.9079 1
```

***

Record 17
First-principles (PBE with a Hubbard U) data for a relaxed Rb2MnCd2O4 crystal, as listed in Alexandria via LeMat-Bulk.

E_tot: -4.576 eV/atom
V: 338.1 Å³/cell

```
data_Rb2MnCd2O4
_symmetry_space_group_name_H-M 'C 1 2/m 1'
_symmetry_Int_Tables_number 12
_cell_length_a 15.140
_cell_length_b 3.399
_cell_length_c 6.588
_cell_angle_alpha 90.00
_cell_angle_beta 94.14
_cell_angle_gamma 90.00
loop_
_symmetry_equiv_pos_as_xyz
'x,y,z'
'-x,-y,-z'
'-x,y,-z'
'x,-y,z'
'x+1/2,y+1/2,z'
'-x+1/2,-y+1/2,-z'
'-x+1/2,y+1/2,-z'
'x+1/2,-y+1/2,z'
loop_
_atom_site_label
_atom_site_fract_x
_atom_site_fract_y
_atom_site_fract_z
_atom_site_occupancy
Rb1 0.122 0.000 0.043 1
Mn1 0.000 0.000 0.500 1
Cd1 0.179 0.500 0.597 1
O1 0.042 0.500 0.692 1
O2 0.236 0.500 0.284 1
```

***

Record 18
First-principles (PBE with a Hubbard U) data for a relaxed Mn2Cd2RuO6 crystal, as listed in Alexandria via LeMat-Bulk.

E_tot: -6.203 eV/atom
V: 287.8 Å³/cell

```
data_Mn2Cd2RuO6
_symmetry_space_group_name_H-M 'C 1 2/m 1'
_symmetry_Int_Tables_number 12
_cell_length_a 5.607
_cell_length_b 9.391
_cell_length_c 5.776
_cell_angle_alpha 90.00
_cell_angle_beta 108.83
_cell_angle_gamma 90.00
loop_
_symmetry_equiv_pos_as_xyz
'x,y,z'
'-x,-y,-z'
'-x,y,-z'
'x,-y,z'
'x+1/2,y+1/2,z'
'-x+1/2,-y+1/2,-z'
'-x+1/2,y+1/2,-z'
'x+1/2,-y+1/2,z'
loop_
_atom_site_label
_atom_site_fract_x
_atom_site_fract_y
_atom_site_fract_z
_atom_site_occupancy
Mn1 0.000 0.160 0.000 1
Cd1 0.000 0.329 0.500 1
Ru1 0.000 0.500 0.000 1
O1 0.208 0.340 0.212 1
O2 0.233 0.500 0.792 1
```

***

Record 19
First-principles (PBE with a Hubbard U) data for a relaxed Mn2Cd2SbO6 crystal, as listed in Alexandria via LeMat-Bulk.

E_tot: -5.573 eV/atom
V: 340.4 Å³/cell

```
data_Mn2Cd2SbO6
_symmetry_space_group_name_H-M 'C 1 2/m 1'
_symmetry_Int_Tables_number 12
_cell_length_a 5.222
_cell_length_b 9.068
_cell_length_c 7.410
_cell_angle_alpha 90.00
_cell_angle_beta 104.07
_cell_angle_gamma 90.00
loop_
_symmetry_equiv_pos_as_xyz
'x,y,z'
'-x,-y,-z'
'-x,y,-z'
'x,-y,z'
'x+1/2,y+1/2,z'
'-x+1/2,-y+1/2,-z'
'-x+1/2,y+1/2,-z'
'x+1/2,-y+1/2,z'
loop_
_atom_site_label
_atom_site_fract_x
_atom_site_fract_y
_atom_site_fract_z
_atom_site_occupancy
Mn1 0.000 0.167 0.000 1
Cd1 0.000 0.189 0.500 1
Sb1 0.000 0.500 0.000 1
O1 0.114 0.000 0.857 1
O2 0.122 0.332 0.860 1
```

***

Record 20
First-principles (PBE with a Hubbard U) data for a relaxed MnCd2SbO4 crystal, as listed in Alexandria via LeMat-Bulk.

E_tot: -5.124 eV/atom
V: 449.5 Å³/cell

```
data_MnCd2SbO4
_symmetry_space_group_name_H-M 'I m m a'
_symmetry_Int_Tables_number 74
_symmetry_space_group_name_Hall '-I 2b 2'
_cell_length_a 6.720
_cell_length_b 6.983
_cell_length_c 9.580
_cell_angle_alpha 90.00
_cell_angle_beta 90.00
_cell_angle_gamma 90.00
loop_
_atom_site_label
_atom_site_fract_x
_atom_site_fract_y
_atom_site_fract_z
_atom_site_occupancy
Mn1 0.250 0.250 0.250 1
Cd1 0.000 0.000 0.000 1
Cd2 0.250 0.250 0.750 1
Sb1 0.000 0.000 0.500 1
O1 0.000 0.023 0.253 1
O2 0.243 0.250 0.486 1
```

***

Record 21
First-principles (PBE with a Hubbard U) data for a relaxed Mn2CdSbO6 crystal, as listed in Alexandria via LeMat-Bulk.

E_tot: -6.447 eV/atom
V: 124.5 Å³/cell

```
data_Mn2CdSbO6
_symmetry_space_group_name_H-M 'P 1'
_symmetry_Int_Tables_number 1
_cell_length_a 5.313
_cell_length_b 5.374
_cell_length_c 5.801
_cell_angle_alpha 62.65
_cell_angle_beta 89.86
_cell_angle_gamma 61.72
loop_
_symmetry_equiv_pos_as_xyz
'x,y,z'
loop_
_atom_site_label
_atom_site_fract_x
_atom_site_fract_y
_atom_site_fract_z
_atom_site_occupancy
Mn1 0.000 0.000 0.000 1
Mn2 0.485 0.030 0.447 1
Cd1 0.213 0.570 0.634 1
Sb1 0.690 0.618 0.063 1
O1 0.065 0.159 0.241 1
O2 0.295 0.061 0.807 1
O3 0.432 0.500 0.276 1
O4 0.631 0.514 0.784 1
O5 0.792 0.808 0.254 1
O6 0.880 0.842 0.802 1
```